(1)
VASP calculation (PBEsol) on a relaxed K2SiTe crystal.

The crystal system is tetragonal. The calculation puts the polymorph energy (0 for the lowest one) at 69 meV per atom. The value obtained for the formation energy (no corrections) is -0.018 eV per atom.

It has space group P4/mmm (No. 123), with a = 3.3345 Å, b = 3.3345 Å, c = 10.3254 Å, α = 90.00°, β = 90.00° and γ = 90.00°. The inequivalent atoms are K at (0.0000, 0.0000, 0.2449), Si at (0.5000, 0.5000, 0.0000) and Te at (0.5000, 0.5000, 0.5000).

---

(2)
VASP calculation (PBEsol) on a relaxed Ni2OsRh crystal.

The crystal system is monoclinic. The calculation puts the energy of formation at 0.313 eV per atom.

It has space group C2/m (No. 12), with a = 5.1346 Å, b = 8.5325 Å, c = 2.5561 Å, α = 90.00°, β = 117.07° and γ = 90.00°. The inequivalent atoms are Ni at (0.2500, 0.2500, 0.0000), Os at (0.0000, 0.0000, 0.5000) and Rh at (0.0000, 0.5000, 0.5000).

---

Question: Which formula does entry 2 have?
Answer: Ni2OsRh